[1]
Mg2InNi2 PBE-GGA optimized geometry; energy of formation from the pure elements = 0.0670 eV/atom; magnetization = 0.071 μB/atom
1.0
-1.6394 1.6394 8.7183
1.6394 -1.6394 8.7183
1.6394 1.6394 -8.7183
Mg In Ni
2 1 2
Direct
0.1302 0.1302 0.0000
0.8698 0.8698 0.0000
0.5000 0.5000 0.0000
0.2500 0.7500 0.5000
0.7500 0.2500 0.5000

---

[2]
Mg8InNi4 PBE-GGA optimized geometry; energy of formation from the pure elements = -0.0916 eV/atom; magnetization = 0.000 μB/atom
1.0
-4.5896 4.5896 2.6895
4.5896 -4.5896 2.6895
4.5896 4.5896 -2.6895
Mg In Ni
8 1 4
Direct
0.0000 0.2206 0.2206
0.0000 0.7794 0.7794
0.1723 0.5000 0.6723
0.2206 0.0000 0.2206
0.5000 0.1723 0.6723
0.5000 0.8277 0.3277
0.7794 0.0000 0.7794
0.8277 0.5000 0.3277
0.5000 0.5000 0.0000
0.0000 0.0000 0.5000
0.0000 0.5000 0.0000
0.5000 0.0000 0.0000
0.5000 0.5000 0.5000

---

[3]
MgInNi PBE-GGA optimized geometry; energy of formation from the pure elements = -0.0605 eV/atom; magnetization = 0.000 μB/atom
1.0
4.4890 0.0000 0.0000
-2.2445 3.8876 0.0000
0.0000 0.0000 3.0760
Mg In Ni
1 1 1
Direct
0.0000 0.0000 0.0000
0.6667 0.3333 0.5002
0.3333 0.6667 0.4978